{
  "formula": "Er12In3Fe2",
  "functional": "SCAN",
  "state": "single point on PBEsol structure",
  "crystal_system": "tetragonal",
  "magnetic_moment_mub_per_cell": 0.8,
  "space_group": "I4/mmm",
  "formation_enthalpy_0k_ev_per_fu": -4.7,
  "lattice": [[-3.393, 0.065, -7.480], [3.190, -7.393, 1.622], [-5.675, 1.592, 5.721]],
  "species": ["Er", "Er", "Er", "Er", "Er", "Er", "Er", "Er", "Er", "Er", "Er", "Er", "In", "In", "In", "Fe", "Fe"],
  "frac_coords": [[0.247, 0.788, 0.035], [0.604, 0.302, 0.302], [0.247, 0.459, 0.212], [0.247, 0.035, 0.788], [0.000, 0.302, 0.698], [0.753, 0.788, 0.541], [0.247, 0.212, 0.459], [0.753, 0.965, 0.212], [0.753, 0.541, 0.788], [0.000, 0.698, 0.302], [0.753, 0.212, 0.965], [0.396, 0.698, 0.698], [0.500, 0.000, 0.500], [0.000, 0.000, 0.000], [0.500, 0.500, 0.000], [0.000, 0.610, 0.610], [0.000, 0.390, 0.390]]
}